1.
A plane-wave DFT calculation with PBE-GGA was carried out for a relaxed structure of LiPa2N3O.

a = 3.575 Å, b = 3.722 Å, c = 12.167 Å
α = 90.00°, β = 90.00°, γ = 90.00°
Space group Immm (No. 71)
Unique sites:
Li (0.000, 0.000, 0.000) (multiplicity 2)
Pa (0.000, 0.000, 0.365) (multiplicity 4)
N (0.000, 0.000, 0.187) (multiplicity 4)
N (0.000, 0.500, 0.000) (multiplicity 2)
O (0.000, 0.500, 0.500) (multiplicity 2)

raw formation energy: -1.641 eV per atom
calculated volume: 11.565 Å³/atom



2.
A plane-wave DFT calculation with PBE-GGA was carried out for a relaxed structure of LiPa2NO4.

a = 9.898 Å, b = 3.338 Å, c = 6.620 Å
α = 90.00°, β = 114.32°, γ = 90.00°
Space group C2/m (No. 12)
Unique sites:
Li (0.000, 0.000, 0.000) (multiplicity 2)
Pa (0.178, 0.000, 0.711) (multiplicity 4)
N (0.000, 0.500, 0.500) (multiplicity 2)
O (0.135, 0.500, 0.936) (multiplicity 4)
O (0.184, 0.000, 0.313) (multiplicity 4)

raw formation energy: -2.739 eV per atom
calculated volume: 12.455 Å³/atom



3.
A plane-wave DFT calculation with PBE-GGA was carried out for a relaxed structure of LiPaNO.

a = 3.485 Å, b = 3.485 Å, c = 7.845 Å
α = 90.00°, β = 90.00°, γ = 90.00°
Space group P4/nmm (No. 129, origin choice 2)
Unique sites:
Li (0.250, 0.750, 0.000) (multiplicity 2)
Pa (0.250, 0.250, 0.310) (multiplicity 2)
N (0.250, 0.250, 0.830) (multiplicity 2)
O (0.250, 0.750, 0.500) (multiplicity 2)

raw formation energy: -1.657 eV per atom
calculated volume: 11.912 Å³/atom



4.
A plane-wave DFT calculation with PBE-GGA was carried out for a relaxed structure of LiPbN2O.

a = 4.093 Å, b = 4.093 Å, c = 3.871 Å
α = 90.00°, β = 90.00°, γ = 90.00°
Space group P4/mmm (No. 123)
Unique sites:
Li (0.000, 0.000, 0.000) (multiplicity 1)
Pb (0.500, 0.500, 0.500) (multiplicity 1)
N (0.000, 0.500, 0.000) (multiplicity 2)
O (0.000, 0.000, 0.500) (multiplicity 1)

raw formation energy: 1.026 eV per atom
calculated volume: 12.968 Å³/atom



> Number 3 is which compound?

LiPaNO



> The highest raw formation energy belongs to which entry?

LiPbN2O